(1)
Entry from the Alexandria database: a relaxed LiTc2Pt crystal (GGA-PBE).

Cell lengths 4.671, 4.671, 2.663 Å; angles 90.00, 90.00, 90.00 degrees
Fractional coordinates of all 4 atoms:
Pt1 0.000 0.500 0.500
Li1 0.500 0.000 0.500
Tc1 0.500 0.500 0.000
Tc2 0.000 0.000 0.000

calculated density: 11.38 g/cm³
volume: 58 Å³/cell
symmetry: P4/mmm (123)
ΔE to the lowest computed polymorph: 374 meV/atom
M_tot: 0.000 μB/atom

***

(2)
Entry from the Alexandria database: a relaxed LiTc2Pt crystal (GGA-PBE).

Cell lengths 7.488, 7.488, 5.801 Å; angles 49.81, 49.81, 90.00 degrees
Fractional coordinates of all 8 atoms:
Tc1 0.875 0.914 0.750
Tc2 0.375 0.336 0.750
Tc3 0.664 0.125 0.250
Tc4 0.086 0.625 0.250
Pt1 0.000 0.000 0.000
Pt2 0.750 0.250 0.500
Li1 0.250 0.750 0.500
Li2 0.500 0.500 0.000

calculated density: 9.94 g/cm³
volume: 133 Å³/cell
symmetry: I-42d (122)
ΔE to the lowest computed polymorph: 632 meV/atom
M_tot: 0.000 μB/atom

***

(3)
Entry from the Alexandria database: a relaxed LiTc2Pt crystal (GGA-PBE).

Cell lengths 4.211, 2.698, 5.667 Å; angles 61.63, 90.00, 90.00 degrees
Fractional coordinates of all 4 atoms:
Tc1 0.000 0.979 0.021
Tc2 0.000 0.521 0.479
Pt1 0.500 0.750 0.750
Li1 0.500 0.250 0.250

calculated density: 11.66 g/cm³
volume: 57 Å³/cell
symmetry: Pmmm (47)
ΔE to the lowest computed polymorph: 54 meV/atom
M_tot: 0.000 μB/atom

***

(4)
Entry from the Alexandria database: a relaxed LiTc2Pt crystal (GGA-PBE).

Cell lengths 4.892, 4.892, 4.549 Å; angles 82.29, 82.29, 32.04 degrees
Fractional coordinates of all 4 atoms:
Tc1 0.490 0.490 0.499
Tc2 0.010 0.010 0.001
Li1 0.250 0.250 0.250
Pt1 0.750 0.750 0.750

calculated density: 11.56 g/cm³
volume: 57 Å³/cell
symmetry: C2/m (12)
ΔE to the lowest computed polymorph: 11 meV/atom
M_tot: 0.000 μB/atom